No. 1
meta-GGA SCAN ZrBO2, single point on PBEsol structure; SG = No. 166; energy relative to the elements, uncorrected = -1.7400 eV/atom
1.0
-2.9444 0.4752 0.1729
-1.9061 -2.0166 -1.1069
-1.7491 -3.1923 4.7963
B O Zr
1 2 1
direct
0.0000 0.0000 0.0000
0.9229 0.9229 0.2313
0.0771 0.0771 0.7687
0.5000 0.5000 0.5000

***

No. 2
meta-GGA SCAN BOs, single point on PBEsol structure; ΔE_f = -250 meV/atom; SG = No. 187
1.0
-1.1431 2.4699 0.8892
-2.0117 -0.1942 -2.0467
-0.4710 -1.1516 2.5933
B Os
1 1
direct
0.5000 0.0000 0.0000
0.0000 0.3333 0.6667

***

No. 3
meta-GGA SCAN B3Os2, single point on PBEsol structure; ΔE_f = -250 meV/atom; SG = No. 194
1.0
-0.9842 0.1861 2.7461
0.3531 -2.6178 -1.2518
12.0825 -0.4557 4.3614
Os B
4 6
direct
0.6667 0.3333 0.6400
0.3333 0.6667 0.3600
0.6667 0.3333 0.8600
0.3333 0.6667 0.1400
0.6667 0.3333 0.2500
0.3333 0.6667 0.7500
0.6667 0.3333 0.4690
0.3333 0.6667 0.9690
0.3333 0.6667 0.5310
0.6667 0.3333 0.0310

***

No. 4
meta-GGA SCAN B2Os, single point on PBEsol structure; ΔE_f = -224 meV/atom; SG = No. 59
1.0
2.8679 0.0000 0.0000
0.0000 4.0670 0.0000
0.0000 0.0000 4.6746
B Os
4 2
direct
0.5000 0.6385 0.3054
0.0000 0.3615 0.1946
0.5000 0.6385 0.6946
0.0000 0.3615 0.8054
0.0000 0.8460 0.0000
0.5000 0.1540 0.5000

***

No. 5
meta-GGA SCAN BP2Os, single point on PBEsol structure; ΔE_f = -44 meV/atom; SG = No. 122
1.0
5.0218 0.0000 0.0000
-2.5109 5.1897 0.0174
0.0000 2.4149 4.4031
Os P B
2 4 2
direct
0.0000 0.0000 0.0000
0.7500 0.5000 0.7500
0.8750 0.2500 0.5745
0.5745 0.7500 0.3750
0.3750 0.2500 0.1755
0.1755 0.7500 0.8750
0.2500 0.5000 0.2500
0.5000 0.0000 0.5000

***

No. 6
meta-GGA SCAN BP3Os, single point on PBEsol structure; ΔE_f = 1138 meV/atom; SG = No. 221
1.0
3.9461 0.0000 0.0000
0.0000 3.9461 0.0000
0.0000 0.0000 3.9461
P Os B
3 1 1
direct
0.5000 0.0000 0.0000
0.0000 0.5000 0.0000
0.0000 0.0000 0.5000
0.5000 0.5000 0.5000
0.0000 0.0000 0.0000

***

No. 7
meta-GGA SCAN BOsPb2S, single point on PBEsol structure; SG = No. 123; energy relative to the elements, uncorrected = 1.3731 eV/atom
1.0
-2.8937 -1.8716 0.9195
1.1020 -3.4854 -3.6264
2.8014 -2.6580 3.4059
Os Pb B S
1 2 1 1
direct
0.5000 0.5000 0.5000
0.0000 0.5000 0.0000
0.0000 0.0000 0.5000
0.0000 0.0000 0.0000
0.5000 0.0000 0.0000

***

No. 8
meta-GGA SCAN BOsPt3, single point on PBEsol structure; ΔE_f = 580 meV/atom; SG = No. 221
1.0
4.1182 0.0000 0.0000
0.0000 4.1182 0.0000
0.0000 0.0000 4.1182
B Os Pt
1 1 3
direct
0.0000 0.0000 0.0000
0.5000 0.5000 0.5000
0.5000 0.0000 0.0000
0.0000 0.5000 0.0000
0.0000 0.0000 0.5000

***

No. 9
meta-GGA SCAN B3OsPt, single point on PBEsol structure; ΔE_f = 1790 meV/atom; SG = No. 221; relative energy among the computed polymorphs = 562 meV/atom
1.0
3.9898 0.0000 0.0000
0.0000 3.9898 0.0000
0.0000 0.0000 3.9898
B Os Pt
3 1 1
direct
0.0000 0.5000 0.0000
0.0000 0.0000 0.5000
0.5000 0.0000 0.0000
0.5000 0.5000 0.5000
0.0000 0.0000 0.0000

***

No. 10
meta-GGA SCAN B3OsPt, single point on PBEsol structure; ΔE_f = 1228 meV/atom; SG = No. 221; relative energy among the computed polymorphs = 0 meV/atom
1.0
4.0226 0.0000 0.0000
0.0000 4.0226 0.0000
0.0000 0.0000 4.0226
B Os Pt
3 1 1
direct
0.0000 0.5000 0.0000
0.0000 0.0000 0.5000
0.5000 0.0000 0.0000
0.0000 0.0000 0.0000
0.5000 0.5000 0.5000

***

No. 11
meta-GGA SCAN B2OsRh, single point on PBEsol structure; ΔE_f = 106 meV/atom; SG = No. 225
1.0
-1.6804 0.0102 3.4162
2.0767 -0.5415 3.1446
0.5981 2.8884 2.4070
B Rh Os
2 1 1
direct
0.7500 0.7500 0.7500
0.2500 0.2500 0.2500
0.0000 0.0000 0.0000
0.5000 0.5000 0.5000

***

No. 12
meta-GGA SCAN B2OsRu, single point on PBEsol structure; ΔE_f = 169 meV/atom; SG = No. 225
1.0
-1.9933 1.0729 -3.0574
1.2098 -0.9348 -3.4835
-1.8958 -2.5915 -2.0402
Ru B Os
1 2 1
direct
0.0000 0.0000 0.0000
0.7500 0.7500 0.7500
0.2500 0.2500 0.2500
0.5000 0.5000 0.5000

***

No. 13
meta-GGA SCAN BOs3S, single point on PBEsol structure; SG = No. 221; energy relative to the elements, uncorrected = 2.2195 eV/atom
1.0
4.2643 0.0000 0.0000
0.0000 4.2643 0.0000
0.0000 0.0000 4.2643
Os S B
3 1 1
direct
0.5000 0.0000 0.0000
0.0000 0.0000 0.5000
0.0000 0.5000 0.0000
0.0000 0.0000 0.0000
0.5000 0.5000 0.5000

***

No. 14
meta-GGA SCAN BSbOs3, single point on PBEsol structure; SG = No. 221; energy relative to the elements, uncorrected = 0.5506 eV/atom
1.0
-3.6543 -1.2060 1.4829
1.7722 -0.9391 3.6035
-0.7161 3.8303 1.3504
Os Sb B
3 1 1
direct
0.0000 0.0000 0.5000
0.0000 0.5000 0.0000
0.5000 0.0000 0.0000
0.5000 0.5000 0.5000
0.0000 0.0000 0.0000

***

No. 15
meta-GGA SCAN BSbTe2Os, single point on PBEsol structure; SG = No. 123; energy relative to the elements, uncorrected = 1.4197 eV/atom
1.0
-2.7685 -3.4451 0.6909
1.3856 -1.9137 -3.9905
3.3689 -2.2557 2.2515
Te Os Sb B
2 1 1 1
direct
0.0000 0.0000 0.5000
0.0000 0.5000 0.0000
0.5000 0.5000 0.5000
0.5000 0.0000 0.0000
0.0000 0.0000 0.0000

***

No. 16
meta-GGA SCAN Ti2BSbOs, single point on PBEsol structure; SG = No. 123; energy relative to the elements, uncorrected = 0.2930 eV/atom
1.0
-2.7231 2.7660 1.0726
-3.0457 -1.7323 -3.2652
-1.7813 -3.0192 3.2634
B Ti Sb Os
1 2 1 1
direct
0.5000 0.0000 0.0000
0.0000 0.0000 0.5000
0.0000 0.5000 0.0000
0.5000 0.5000 0.5000
0.0000 0.0000 0.0000

***

No. 17
meta-GGA SCAN ScB2Os, single point on PBEsol structure; ΔE_f = -178 meV/atom; SG = No. 141; relative energy among the computed polymorphs = 571 meV/atom
1.0
-2.2165 -2.9896 1.5115
0.5981 -2.1364 -3.3486
6.5491 -0.2627 3.7466
B Os Sc
4 2 2
direct
0.1250 0.8750 0.2500
0.6250 0.8750 0.7500
0.1250 0.8750 0.7500
0.1250 0.3750 0.2500
0.0000 0.0000 0.0000
0.2500 0.7500 0.5000
0.5000 0.5000 0.0000
0.7500 0.2500 0.5000

***

No. 18
meta-GGA SCAN Sc3BOs, single point on PBEsol structure; ΔE_f = 688 meV/atom; SG = No. 221
1.0
4.8868 0.0000 0.0000
0.0000 4.8868 0.0000
0.0000 0.0000 4.8868
Sc B Os
3 1 1
direct
0.5000 0.0000 0.0000
0.0000 0.5000 0.0000
0.0000 0.0000 0.5000
0.5000 0.5000 0.5000
0.0000 0.0000 0.0000

***

No. 19
meta-GGA SCAN ScB2Os2, single point on PBEsol structure; ΔE_f = -172 meV/atom; SG = No. 139
1.0
3.8516 0.0000 0.0000
0.0000 3.8516 0.0000
-1.9258 -1.9258 4.3167
B Os Sc
2 2 1
direct
0.2500 0.7500 0.5000
0.7500 0.2500 0.5000
0.6394 0.6394 0.2788
0.3606 0.3606 0.7212
0.0000 0.0000 0.0000

***

No. 20
meta-GGA SCAN ScB2Os, single point on PBEsol structure; ΔE_f = -749 meV/atom; SG = No. 62; relative energy among the computed polymorphs = 0 meV/atom
1.0
-0.5479 5.1248 -0.3724
-0.0696 -0.4141 -5.5958
-6.1029 -0.6435 0.1235
B Os Sc
8 4 4
direct
0.0798 0.8539 0.0332
0.9202 0.1461 0.9668
0.5798 0.6461 0.5332
0.0798 0.3539 0.4668
0.4202 0.3539 0.4668
0.4202 0.8539 0.0332
0.9202 0.6461 0.5332
0.5798 0.1461 0.9668
0.2500 0.1772 0.1799
0.2500 0.6772 0.3201
0.7500 0.8228 0.8201
0.7500 0.3228 0.6799
0.2500 0.5103 0.8291
0.7500 0.4897 0.1709
0.2500 0.0103 0.6709
0.7500 0.9897 0.3291

***

No. 21
meta-GGA SCAN BOs3Se, single point on PBEsol structure; SG = No. 221; energy relative to the elements, uncorrected = 0.9258 eV/atom; relative energy among the computed polymorphs = 0 meV/atom
1.0
-2.6146 -0.4469 -3.1321
2.6399 -2.5474 -1.8403
-1.7436 -3.1869 1.9102
Os Se B
3 1 1
direct
0.0000 0.0000 0.5000
0.0000 0.5000 0.0000
0.5000 0.0000 0.0000
0.5000 0.5000 0.5000
0.0000 0.0000 0.0000

***

No. 22
meta-GGA SCAN BOs3Se, single point on PBEsol structure; SG = No. 221; energy relative to the elements, uncorrected = 2.8708 eV/atom; relative energy among the computed polymorphs = 1945 meV/atom
1.0
4.4753 0.0000 0.0000
0.0000 4.4753 0.0000
0.0000 0.0000 4.4753
Os B Se
3 1 1
direct
0.5000 0.0000 0.0000
0.0000 0.0000 0.5000
0.0000 0.5000 0.0000
0.5000 0.5000 0.5000
0.0000 0.0000 0.0000

***

No. 23
meta-GGA SCAN Si2B2Os, single point on PBEsol structure; SG = No. 127; energy relative to the elements, uncorrected = 0.9592 eV/atom
1.0
2.9187 0.0000 0.0000
0.0000 6.1051 0.0000
0.0000 0.0000 6.1051
B Si Os
4 4 2
direct
0.5000 0.6908 0.8092
0.5000 0.8092 0.3092
0.5000 0.3092 0.1908
0.5000 0.1908 0.6908
0.0000 0.6301 0.1301
0.0000 0.8699 0.6301
0.0000 0.1301 0.3699
0.0000 0.3699 0.8699
0.0000 0.0000 0.0000
0.0000 0.5000 0.5000

***

No. 24
meta-GGA SCAN SmB2Os2, single point on PBEsol structure; ΔE_f = -538 meV/atom; SG = No. 70
1.0
-2.2384 -5.0498 0.7820
4.2678 0.4801 3.5606
-4.0588 4.1601 1.2246
Os B Sm
4 4 2
direct
0.6374 0.6374 0.2747
0.8874 0.3874 0.7747
0.6126 0.1126 0.2253
0.3626 0.3626 0.7253
0.5615 0.4385 0.5000
0.3115 0.6885 0.0000
0.6885 0.3115 0.0000
0.9385 0.0615 0.5000
0.0000 0.0000 0.0000
0.2500 0.7500 0.5000

***

No. 25
meta-GGA SCAN SnB2Os, single point on PBEsol structure; ΔE_f = 667 meV/atom; SG = No. 122
1.0
-4.2343 2.7949 0.3032
-0.5095 -1.3020 4.8865
5.0161 3.1180 -1.2895
Sn B Os
2 4 2
direct
0.5000 0.5000 0.0000
0.7500 0.2500 0.5000
0.3152 0.8750 0.2500
0.6250 0.6848 0.7500
0.9348 0.3750 0.2500
0.1250 0.0652 0.7500
0.2500 0.7500 0.5000
0.0000 0.0000 0.0000

***

No. 26
meta-GGA SCAN Sn3BOs, single point on PBEsol structure; ΔE_f = 1431 meV/atom; SG = No. 221
1.0
-1.2080 4.2755 1.0705
-2.7194 0.1505 -3.6698
-3.4685 -1.6071 2.5044
Os Sn B
1 3 1
direct
0.5000 0.5000 0.5000
0.5000 0.0000 0.0000
0.0000 0.0000 0.5000
0.0000 0.5000 0.0000
0.0000 0.0000 0.0000

***

No. 27
meta-GGA SCAN TbB2Os, single point on PBEsol structure; ΔE_f = -628 meV/atom; SG = No. 62
1.0
-3.0869 2.7829 3.2764
-0.9061 -4.8052 3.2278
5.0556 1.4303 3.5484
B Tb Os
8 4 4
direct
0.4187 0.8630 0.0405
0.0813 0.8630 0.0405
0.5813 0.6370 0.5405
0.0813 0.3630 0.4595
0.9187 0.1370 0.9595
0.9187 0.6370 0.5405
0.4187 0.3630 0.4595
0.5813 0.1370 0.9595
0.7500 0.9912 0.3362
0.2500 0.5088 0.8362
0.2500 0.0088 0.6638
0.7500 0.4912 0.1638
0.7500 0.8230 0.8193
0.7500 0.3230 0.6807
0.2500 0.6770 0.3193
0.2500 0.1770 0.1807